Record 1
# TcRu2Pt2

A geometry-optimized TcRu2Pt2 structure (PBE-GGA, the Alexandria database).

The value obtained for the total DFT energy (no corrections) is -8.1730 eV/atom. The calculation puts the formation energy from the elements at 27 meV per atom.

It has space group Cmmm (No. 65), with a = 2.722 Å, b = 20.289 Å, c = 2.717 Å, α = 90.00°, β = 90.00° and γ = 90.00°. The asymmetric unit holds Tc at (0.000, 0.000, 0.000), Ru at (0.000, 0.406, 0.500) and Pt at (0.000, 0.191, 0.000).

***

Record 2
# Tc2Ru2Pt

A geometry-optimized Tc2Ru2Pt structure (PBE-GGA, the Alexandria database).

The value obtained for the total DFT energy (no corrections) is -8.9088 eV/atom. The calculation puts the formation energy from the elements at 156 meV per atom.

It has space group P4/mbm (No. 127), with a = 7.420 Å, b = 7.420 Å, c = 2.754 Å, α = 90.00°, β = 90.00° and γ = 90.00°. The asymmetric unit holds Tc at (0.123, 0.377, 0.000), Ru at (0.169, 0.669, 0.500) and Pt at (0.000, 0.000, 0.000).

***

Record 3
# TcRuPt14

A geometry-optimized TcRuPt14 structure (PBE-GGA, the Alexandria database).

The value obtained for the total DFT energy (no corrections) is -6.5537 eV/atom. The calculation puts the formation energy from the elements at -40 meV per atom.

It has space group P4/mmm (No. 123), with a = 5.599 Å, b = 5.599 Å, c = 7.891 Å, α = 90.00°, β = 90.00° and γ = 90.00°. The asymmetric unit holds Tc at (0.000, 0.000, 0.000), Ru at (0.500, 0.500, 0.000), Pt at (0.000, 0.000, 0.500), Pt at (0.000, 0.500, 0.000), Pt at (0.000, 0.500, 0.500), Pt at (0.249, 0.249, 0.243) and Pt at (0.500, 0.500, 0.500).

***

Record 4
# Tc4RuPt

A geometry-optimized Tc4RuPt structure (PBE-GGA, the Alexandria database).

The value obtained for the total DFT energy (no corrections) is -9.3874 eV/atom. The calculation puts the formation energy from the elements at 76 meV per atom.

It has space group Imma (No. 74), with a = 4.326 Å, b = 10.890 Å, c = 7.565 Å, α = 90.00°, β = 90.00° and γ = 90.00°. The asymmetric unit holds Tc at (0.000, 0.001, 0.167), Tc at (0.000, 0.129, 0.512), Ru at (0.000, 0.250, 0.827) and Pt at (0.000, 0.250, 0.159).